Record 1
Sm8InSn2 | Alexandria via LeMat-Bulk | GGA-PBE | optimized geometry; total energy = -4.75 eV/atom; space-group type = C2/m (12); magnetic moment = 0.0 μB per formula unit
1.0
9.8452 -2.6129 0.0000
9.8452 2.6129 0.0000
-1.6974 0.0000 6.7465
Sm In Sn
8 1 2
direct
0.0180 0.0180 0.2653 Sm
0.2132 0.2132 0.8223 Sm
0.3407 0.3407 0.5017 Sm
0.4074 0.4074 0.0206 Sm
0.5926 0.5926 0.9794 Sm
0.6593 0.6593 0.4983 Sm
0.7868 0.7868 0.1777 Sm
0.9820 0.9820 0.7347 Sm
0.5000 0.5000 0.5000 In
0.1799 0.1799 0.2547 Sn
0.8201 0.8201 0.7453 Sn

Record 2
Nd3HgP2Rh9 | Alexandria via LeMat-Bulk | GGA-PBE | optimized geometry; total energy = -6.63 eV/atom; space-group type = P-3m1 (164); magnetic moment = 0.0 μB per formula unit
1.0
6.0563 0.0000 0.0000
-3.0281 5.2449 0.0000
0.0000 0.0000 9.6192
Nd Hg P Rh
3 1 2 9
direct
0.0000 0.0000 0.0000 Nd
0.3333 0.6667 0.7122 Nd
0.6667 0.3333 0.2878 Nd
0.0000 0.0000 0.5000 Hg
0.3333 0.6667 0.1560 P
0.6667 0.3333 0.8440 P
0.0000 0.5000 0.0000 Rh
0.1497 0.2994 0.2630 Rh
0.1497 0.8503 0.2630 Rh
0.2994 0.1497 0.7370 Rh
0.5000 0.0000 0.0000 Rh
0.5000 0.5000 0.0000 Rh
0.7006 0.8503 0.2630 Rh
0.8503 0.1497 0.7370 Rh
0.8503 0.7006 0.7370 Rh

Record 3
TaPbBr2 | Alexandria via LeMat-Bulk | GGA-PBE | optimized geometry; space-group type = C2/m (12); offset from the most stable computed form = 252.5 kJ/mol of formula units; magnetic moment = 1.1 μB per formula unit; ΔE_f (raw) = 10.90 kcal/mol of atoms
1.0
3.3609 -5.0122 0.0000
3.3609 5.0122 0.0000
-1.6114 0.0000 2.9093
Ta Pb Br
1 1 2
direct
0.0000 0.0000 0.0000 Ta
0.5000 0.5000 0.0000 Pb
0.0000 0.5000 0.0000 Br
0.5000 0.0000 0.0000 Br

Record 4
Sc2CdTcH | Alexandria via LeMat-Bulk | GGA-PBE | optimized geometry; total energy = -5.75 eV/atom; space-group type = P4/mmm (123); magnetic moment = 0.0 μB per formula unit
1.0
4.7225 0.0000 0.0000
0.0000 4.7225 0.0000
0.0000 0.0000 3.5603
Sc Cd Tc H
2 1 1 1
direct
0.0000 0.5000 0.0000 Sc
0.5000 0.0000 0.0000 Sc
0.0000 0.0000 0.5000 Cd
0.5000 0.5000 0.5000 Tc
0.5000 0.5000 0.0000 H

> Which value of magnetic moment does entry 2 give?

0.0 μB per formula unit